*w*
## PrNdInAu (PBE)

Data for an optimized crystal structure of PrNdInAu.

Geometry as POSCAR:
```
PrNdInAu
1.0
-1.491 3.329 0.775
-1.660 -1.444 3.011
6.405 1.842 4.414
Pr Nd In Au
1 1 1 1
Direct
0.000 0.000 0.373
0.000 0.000 0.838
0.500 0.500 0.104
0.500 0.500 0.613
```

***

*x*
## PrNdInAu (PBE)

Data for an optimized crystal structure of PrNdInAu.

Geometry as POSCAR:
```
PrNdInAu
1.0
5.413 0.000 0.000
2.706 4.687 0.000
2.706 1.562 4.419
Pr Nd Au In
1 1 1 1
Direct
0.000 0.000 0.000
0.500 0.500 0.500
0.250 0.250 0.250
0.750 0.750 0.750
```

***

Quick ranking, most stable first: *w*, *x*.